Entry 1:
A plane-wave DFT calculation with PBE-GGA was carried out for a geometry-optimized Zr5AsPb3 structure.

a b c (Å): 8.802 8.802 6.035
angles (deg): 90.00 90.00 120.00
Atoms (fractional coordinates):
Zr (0.000, 0.258, 0.250)
Zr (0.000, 0.742, 0.750)
Zr (0.258, 0.000, 0.250)
Zr (0.258, 0.258, 0.750)
Zr (0.333, 0.667, 0.000)
Zr (0.333, 0.667, 0.500)
Zr (0.667, 0.333, 0.000)
Zr (0.667, 0.333, 0.500)
Zr (0.742, 0.000, 0.750)
Zr (0.742, 0.742, 0.250)
As (0.000, 0.000, 0.000)
As (0.000, 0.000, 0.500)
Pb (0.000, 0.395, 0.750)
Pb (0.000, 0.605, 0.250)
Pb (0.395, 0.000, 0.750)
Pb (0.395, 0.395, 0.250)
Pb (0.605, 0.000, 0.250)
Pb (0.605, 0.605, 0.750)

Output
energy of formation from the pure elements: -0.5243 eV per atom
SG: P6_3/mcm
crystal system: hexagonal

---

Entry 2:
A plane-wave DFT calculation with PBE-GGA was carried out for a geometry-optimized Al2HgPb2 structure.

a b c (Å): 4.835 4.835 12.079
angles (deg): 90.00 90.00 90.00
Atoms (fractional coordinates):
Al (0.000, 0.000, 0.107)
Al (0.000, 0.000, 0.893)
Al (0.500, 0.500, 0.393)
Al (0.500, 0.500, 0.607)
Hg (0.000, 0.000, 0.500)
Hg (0.500, 0.500, 0.000)
Pb (0.000, 0.500, 0.250)
Pb (0.000, 0.500, 0.750)
Pb (0.500, 0.000, 0.250)
Pb (0.500, 0.000, 0.750)

Output
energy of formation from the pure elements: 0.2516 eV per atom
SG: I4/mmm
crystal system: tetragonal
polymorph energy (0 for the lowest one): 0.1168 eV/atom

---

Entry 3:
A plane-wave DFT calculation with PBE-GGA was carried out for a geometry-optimized Pu3P4Pd7 structure.

a b c (Å): 7.952 7.952 9.567
angles (deg): 123.86 123.86 28.89
Atoms (fractional coordinates):
Pu (0.000, 0.000, 0.000)
Pu (0.316, 0.316, 0.317)
Pu (0.684, 0.684, 0.683)
P (0.105, 0.105, 0.818)
P (0.343, 0.343, 0.754)
P (0.657, 0.657, 0.246)
P (0.895, 0.895, 0.182)
Pd (0.000, 0.000, 0.500)
Pd (0.168, 0.168, 0.425)
Pd (0.310, 0.310, 0.981)
Pd (0.488, 0.488, 0.710)
Pd (0.512, 0.512, 0.290)
Pd (0.690, 0.690, 0.019)
Pd (0.832, 0.832, 0.575)

Output
energy of formation from the pure elements: -0.7598 eV per atom
SG: C2/m
crystal system: monoclinic

---

Question: Which value of energy of formation from the pure elements does entry 2 give?
Answer: 0.2516 eV per atom

---

Repeat the first record exactly.
A plane-wave DFT calculation with PBE-GGA was carried out for a geometry-optimized Zr5AsPb3 structure.

a b c (Å): 8.802 8.802 6.035
angles (deg): 90.00 90.00 120.00
Atoms (fractional coordinates):
Zr (0.000, 0.258, 0.250)
Zr (0.000, 0.742, 0.750)
Zr (0.258, 0.000, 0.250)
Zr (0.258, 0.258, 0.750)
Zr (0.333, 0.667, 0.000)
Zr (0.333, 0.667, 0.500)
Zr (0.667, 0.333, 0.000)
Zr (0.667, 0.333, 0.500)
Zr (0.742, 0.000, 0.750)
Zr (0.742, 0.742, 0.250)
As (0.000, 0.000, 0.000)
As (0.000, 0.000, 0.500)
Pb (0.000, 0.395, 0.750)
Pb (0.000, 0.605, 0.250)
Pb (0.395, 0.000, 0.750)
Pb (0.395, 0.395, 0.250)
Pb (0.605, 0.000, 0.250)
Pb (0.605, 0.605, 0.750)

Output
energy of formation from the pure elements: -0.5243 eV per atom
SG: P6_3/mcm
crystal system: hexagonal